Entry one
A relaxed structure of SiHgTe2, computed with PBEsol.

Results
Calculated volume in Å³/atom: 26.8
DOS at the Fermi energy in states/eV per atom: 0.275
Magnetization in Bohr magnetons per cell: 0.00

Geometry as CIF:
```
data_SiHgTe2
_cell_length_a 13.5187
_cell_length_b 3.8339
_cell_length_c 4.1438
_cell_angle_alpha 90.00
_cell_angle_beta 91.04
_cell_angle_gamma 90.00
_space_group_name_H-M_alt 'C 1 m 1'
_space_group_IT_number 8
loop_
_space_group_symop_operation_xyz
'x,y,z'
'x,-y,z'
'x+1/2,y+1/2,z'
'x+1/2,-y+1/2,z'
loop_
_atom_site_label
_atom_site_type_symbol
_atom_site_fract_x
_atom_site_fract_y
_atom_site_fract_z
Si1 Si 0.0000 0.0000 0.0000
Hg1 Hg 0.2710 0.5000 0.4333
Te1 Te 0.0612 0.5000 0.4556
Te2 Te 0.3412 0.0000 0.9358
```


Entry two
A relaxed structure of SiHgTe2, computed with PBEsol.

Results
Calculated volume in Å³/atom: 23.8
DOS at the Fermi energy in states/eV per atom: 0.543
Magnetization in Bohr magnetons per cell: 0.00

Geometry as CIF:
```
data_SiHgTe2
_cell_length_a 7.2447
_cell_length_b 7.2447
_cell_length_c 7.2447
_cell_angle_alpha 90.00
_cell_angle_beta 90.00
_cell_angle_gamma 90.00
_space_group_name_H-M_alt 'F -4 3 m'
_space_group_IT_number 216
_space_group_name_Hall 'F -4 2 3'
loop_
_atom_site_label
_atom_site_type_symbol
_atom_site_fract_x
_atom_site_fract_y
_atom_site_fract_z
Si1 Si 0.0000 0.0000 0.0000
Hg1 Hg 0.2500 0.2500 0.2500
Te1 Te 0.0000 0.0000 0.5000
Te2 Te 0.2500 0.2500 0.7500
```


How far above the most stable structure does each one sit? In eV/atom: entry one 0.000; entry two 0.264.


Entry one
A relaxed structure of Y2IrBr, computed with PBEsol.

Results
Calculated volume in Å³/atom: 25.4
DOS at the Fermi energy in states/eV per atom: 0.232
Magnetization in Bohr magnetons per cell: 0.00

Geometry as CIF:
```
data_Y2IrBr
_cell_length_a 3.9770
_cell_length_b 3.9770
_cell_length_c 22.2232
_cell_angle_alpha 90.00
_cell_angle_beta 90.00
_cell_angle_gamma 120.00
_space_group_name_H-M_alt 'R -3 m'
_space_group_IT_number 166
_space_group_name_Hall '-R 3 2"'
loop_
_atom_site_label
_atom_site_type_symbol
_atom_site_fract_x
_atom_site_fract_y
_atom_site_fract_z
Y1 Y 0.0000 0.0000 0.2318
Ir1 Ir 0.0000 0.0000 0.5000
Br1 Br 0.0000 0.0000 0.0000
```


Entry two
A relaxed structure of Y2IrBr, computed with PBEsol.

Results
Calculated volume in Å³/atom: 22.1
DOS at the Fermi energy in states/eV per atom: 0.597
Magnetization in Bohr magnetons per cell: 0.00

Geometry as CIF:
```
data_Y2IrBr
_cell_length_a 4.2594
_cell_length_b 5.6022
_cell_length_c 7.4197
_cell_angle_alpha 90.00
_cell_angle_beta 90.00
_cell_angle_gamma 90.00
_space_group_name_H-M_alt 'I m m m'
_space_group_IT_number 71
_space_group_name_Hall '-I 2 2'
loop_
_atom_site_label
_atom_site_type_symbol
_atom_site_fract_x
_atom_site_fract_y
_atom_site_fract_z
Y1 Y 0.0000 0.0000 0.2396
Ir1 Ir 0.0000 0.5000 0.5000
Br1 Br 0.0000 0.5000 0.0000
```


How far above the most stable structure does each one sit? In eV/atom: entry one 0.000; entry two 0.374.


Entry one
A relaxed structure of HfC, computed with PBEsol.

Results
Calculated volume in Å³/atom: 12.2
DOS at the Fermi energy in states/eV per atom: 0.175
Magnetization in Bohr magnetons per cell: 0.00

Geometry as CIF:
```
data_HfC
_cell_length_a 4.6053
_cell_length_b 4.6053
_cell_length_c 4.6053
_cell_angle_alpha 90.00
_cell_angle_beta 90.00
_cell_angle_gamma 90.00
_space_group_name_H-M_alt 'F m -3 m'
_space_group_IT_number 225
_space_group_name_Hall '-F 4 2 3'
loop_
_atom_site_label
_atom_site_type_symbol
_atom_site_fract_x
_atom_site_fract_y
_atom_site_fract_z
Hf1 Hf 0.0000 0.0000 0.0000
C1 C 0.0000 0.0000 0.5000
```


Entry two
A relaxed structure of HfC, computed with PBEsol.

Results
Calculated volume in Å³/atom: 12.2
DOS at the Fermi energy in states/eV per atom: 0.104
Magnetization in Bohr magnetons per cell: 0.00

Geometry as CIF:
```
data_HfC
_cell_length_a 3.2880
_cell_length_b 3.2880
_cell_length_c 5.2038
_cell_angle_alpha 90.00
_cell_angle_beta 90.00
_cell_angle_gamma 120.00
_space_group_name_H-M_alt 'P 63/m m c'
_space_group_IT_number 194
_space_group_name_Hall '-P 6c 2c'
loop_
_atom_site_label
_atom_site_type_symbol
_atom_site_fract_x
_atom_site_fract_y
_atom_site_fract_z
Hf1 Hf 0.3333 0.6667 0.2500
C1 C 0.0000 0.0000 0.0000
```


How far above the most stable structure does each one sit? In eV/atom: entry one 0.000; entry two 0.185.


Entry one
A relaxed structure of ReRh2W, computed with PBEsol.

Results
Calculated volume in Å³/atom: 14.2
DOS at the Fermi energy in states/eV per atom: 0.660
Magnetization in Bohr magnetons per cell: 0.00

Geometry as CIF:
```
data_ReRh2W
_cell_length_a 2.6933
_cell_length_b 3.9064
_cell_length_c 5.3905
_cell_angle_alpha 90.00
_cell_angle_beta 90.00
_cell_angle_gamma 90.00
_space_group_name_H-M_alt 'P m m m'
_space_group_IT_number 47
loop_
_space_group_symop_operation_xyz
'x,y,z'
'-x,-y,-z'
'-x,-y,z'
'x,y,-z'
'x,-y,-z'
'-x,y,z'
'-x,y,-z'
'x,-y,z'
loop_
_atom_site_label
_atom_site_type_symbol
_atom_site_fract_x
_atom_site_fract_y
_atom_site_fract_z
Re1 Re 0.0000 0.0000 0.0000
Rh1 Rh 0.5000 0.5000 0.2462
W1 W 0.0000 0.0000 0.5000
```


Entry two
A relaxed structure of ReRh2W, computed with PBEsol.

Results
Calculated volume in Å³/atom: 14.1
DOS at the Fermi energy in states/eV per atom: 0.510
Magnetization in Bohr magnetons per cell: 0.00

Geometry as CIF:
```
data_ReRh2W
_cell_length_a 2.7097
_cell_length_b 4.3709
_cell_length_c 4.7718
_cell_angle_alpha 90.00
_cell_angle_beta 90.00
_cell_angle_gamma 90.00
_space_group_name_H-M_alt 'P m m 2'
_space_group_IT_number 25
loop_
_space_group_symop_operation_xyz
'x,y,z'
'-x,-y,z'
'-x,y,z'
'x,-y,z'
loop_
_atom_site_label
_atom_site_type_symbol
_atom_site_fract_x
_atom_site_fract_y
_atom_site_fract_z
Re1 Re 0.0000 0.0000 0.0000
Rh1 Rh 0.5000 0.0000 0.5039
Rh2 Rh 0.5000 0.5000 0.8413
W1 W 0.0000 0.5000 0.3360
```


How far above the most stable structure does each one sit? In eV/atom: entry one 0.082; entry two 0.000.